Record 1
Computed, not measured: a relaxed structure of BaScNi2I at the PBE level of DFT.

The structure in CIF format:
```
data_BaScNi2I
_cell_length_a 4.9047
_cell_length_b 4.9047
_cell_length_c 5.6554
_cell_angle_alpha 90.00
_cell_angle_beta 90.00
_cell_angle_gamma 90.00
_symmetry_space_group_name_H-M 'P 4/m m m'
_symmetry_Int_Tables_number 123
_symmetry_space_group_name_Hall '-P 4 2'
loop_
_atom_site_label
_atom_site_type_symbol
_atom_site_fract_x
_atom_site_fract_y
_atom_site_fract_z
Ba1 Ba 0.0000 0.0000 0.0000
Sc1 Sc 0.5000 0.5000 0.5000
Ni1 Ni 0.0000 0.5000 0.5000
I1 I 0.5000 0.5000 0.0000
```

Results
Formation energy from raw total energies: -23 meV per atom
Total magnetic moment: 0.0 μB/cell



Record 2
Computed, not measured: a relaxed structure of Ba2NiSnI at the PBE level of DFT.

The structure in CIF format:
```
data_Ba2NiSnI
_cell_length_a 6.2670
_cell_length_b 6.2670
_cell_length_c 4.7792
_cell_angle_alpha 90.00
_cell_angle_beta 90.00
_cell_angle_gamma 90.00
_symmetry_space_group_name_H-M 'P 4/m m m'
_symmetry_Int_Tables_number 123
_symmetry_space_group_name_Hall '-P 4 2'
loop_
_atom_site_label
_atom_site_type_symbol
_atom_site_fract_x
_atom_site_fract_y
_atom_site_fract_z
Ba1 Ba 0.0000 0.5000 0.0000
Ni1 Ni 0.0000 0.0000 0.0000
Sn1 Sn 0.0000 0.0000 0.5000
I1 I 0.5000 0.5000 0.5000
```

Results
Formation energy from raw total energies: -704 meV per atom
Total magnetic moment: 0.0 μB/cell



Record 3
Computed, not measured: a relaxed structure of Ba2SrNiI at the PBE level of DFT.

The structure in CIF format:
```
data_Ba2SrNiI
_cell_length_a 6.1209
_cell_length_b 6.1209
_cell_length_c 5.8695
_cell_angle_alpha 90.00
_cell_angle_beta 90.00
_cell_angle_gamma 90.00
_symmetry_space_group_name_H-M 'P 4/m m m'
_symmetry_Int_Tables_number 123
_symmetry_space_group_name_Hall '-P 4 2'
loop_
_atom_site_label
_atom_site_type_symbol
_atom_site_fract_x
_atom_site_fract_y
_atom_site_fract_z
Ba1 Ba 0.0000 0.5000 0.0000
Sr1 Sr 0.0000 0.0000 0.5000
Ni1 Ni 0.0000 0.0000 0.0000
I1 I 0.5000 0.5000 0.5000
```

Results
Formation energy from raw total energies: -337 meV per atom
Total magnetic moment: 0.0 μB/cell



Record 4
Computed, not measured: a relaxed structure of BaNiTeI2 at the PBE level of DFT.

The structure in CIF format:
```
data_BaNiTeI2
_cell_length_a 5.3863
_cell_length_b 5.3863
_cell_length_c 5.4591
_cell_angle_alpha 90.00
_cell_angle_beta 90.00
_cell_angle_gamma 90.00
_symmetry_space_group_name_H-M 'P 4/m m m'
_symmetry_Int_Tables_number 123
_symmetry_space_group_name_Hall '-P 4 2'
loop_
_atom_site_label
_atom_site_type_symbol
_atom_site_fract_x
_atom_site_fract_y
_atom_site_fract_z
Ba1 Ba 0.0000 0.0000 0.0000
Ni1 Ni 0.5000 0.5000 0.5000
Te1 Te 0.5000 0.5000 0.0000
I1 I 0.0000 0.5000 0.5000
```

Results
Formation energy from raw total energies: -748 meV per atom
Total magnetic moment: 0.0 μB/cell



Record 5
Computed, not measured: a relaxed structure of BaTl2NiI at the PBE level of DFT.

The structure in CIF format:
```
data_BaTl2NiI
_cell_length_a 5.1355
_cell_length_b 5.1355
_cell_length_c 6.2515
_cell_angle_alpha 90.00
_cell_angle_beta 90.00
_cell_angle_gamma 90.00
_symmetry_space_group_name_H-M 'P 4/m m m'
_symmetry_Int_Tables_number 123
_symmetry_space_group_name_Hall '-P 4 2'
loop_
_atom_site_label
_atom_site_type_symbol
_atom_site_fract_x
_atom_site_fract_y
_atom_site_fract_z
Ba1 Ba 0.0000 0.0000 0.0000
Tl1 Tl 0.0000 0.5000 0.5000
Ni1 Ni 0.0000 0.0000 0.5000
I1 I 0.5000 0.5000 0.0000
```

Results
Formation energy from raw total energies: -452 meV per atom
Total magnetic moment: 0.0 μB/cell



Record 6
Computed, not measured: a relaxed structure of Ba2TlNiI at the PBE level of DFT.

The structure in CIF format:
```
data_Ba2TlNiI
_cell_length_a 6.1793
_cell_length_b 6.1793
_cell_length_c 4.9683
_cell_angle_alpha 90.00
_cell_angle_beta 90.00
_cell_angle_gamma 90.00
_symmetry_space_group_name_H-M 'P 4/m m m'
_symmetry_Int_Tables_number 123
_symmetry_space_group_name_Hall '-P 4 2'
loop_
_atom_site_label
_atom_site_type_symbol
_atom_site_fract_x
_atom_site_fract_y
_atom_site_fract_z
Ba1 Ba 0.0000 0.5000 0.0000
Tl1 Tl 0.0000 0.0000 0.5000
Ni1 Ni 0.0000 0.0000 0.0000
I1 I 0.5000 0.5000 0.5000
```

Results
Formation energy from raw total energies: -551 meV per atom
Total magnetic moment: 0.0 μB/cell



Record 7
Computed, not measured: a relaxed structure of BaNpI6 at the PBE level of DFT.

The structure in CIF format:
```
data_BaNpI6
_cell_length_a 8.1300
_cell_length_b 13.7595
_cell_length_c 8.0329
_cell_angle_alpha 90.00
_cell_angle_beta 106.29
_cell_angle_gamma 90.00
_symmetry_space_group_name_H-M 'C 1 2/m 1'
_symmetry_Int_Tables_number 12
loop_
_symmetry_equiv_pos_as_xyz
'x,y,z'
'-x,-y,-z'
'-x,y,-z'
'x,-y,z'
'x+1/2,y+1/2,z'
'-x+1/2,-y+1/2,-z'
'-x+1/2,y+1/2,-z'
'x+1/2,-y+1/2,z'
loop_
_atom_site_label
_atom_site_type_symbol
_atom_site_fract_x
_atom_site_fract_y
_atom_site_fract_z
Ba1 Ba 0.0000 0.0000 0.0000
Np1 Np 0.0000 0.5000 0.5000
I1 I 0.2092 0.3438 0.7276
I2 I 0.2455 0.5000 0.2833
```

Results
Formation energy from raw total energies: -1120 meV per atom
Total magnetic moment: 6.0 μB/cell



Record 8
Computed, not measured: a relaxed structure of Ba3NpI2O6 at the PBE level of DFT.

The structure in CIF format:
```
data_Ba3NpI2O6
_cell_length_a 13.4908
_cell_length_b 7.4729
_cell_length_c 6.4636
_cell_angle_alpha 90.00
_cell_angle_beta 95.83
_cell_angle_gamma 90.00
_symmetry_space_group_name_H-M 'C 1 2/m 1'
_symmetry_Int_Tables_number 12
loop_
_symmetry_equiv_pos_as_xyz
'x,y,z'
'-x,-y,-z'
'-x,y,-z'
'x,-y,z'
'x+1/2,y+1/2,z'
'-x+1/2,-y+1/2,-z'
'-x+1/2,y+1/2,-z'
'x+1/2,-y+1/2,z'
loop_
_atom_site_label
_atom_site_type_symbol
_atom_site_fract_x
_atom_site_fract_y
_atom_site_fract_z
Ba1 Ba 0.0000 0.0000 0.0000
Ba2 Ba 0.2500 0.2500 0.5000
Np1 Np 0.0000 0.5000 0.5000
I1 I 0.2413 0.0000 0.9375
O1 O 0.0497 0.2907 0.3254
O2 O 0.1393 0.5000 0.6331
```

Results
Formation energy from raw total energies: -2135 meV per atom
Total magnetic moment: 1.9 μB/cell



Record 9
Computed, not measured: a relaxed structure of BaNpI2O8 at the PBE level of DFT.

The structure in CIF format:
```
data_BaNpI2O8
_cell_length_a 6.4262
_cell_length_b 6.4262
_cell_length_c 7.3989
_cell_angle_alpha 90.00
_cell_angle_beta 90.00
_cell_angle_gamma 120.00
_symmetry_space_group_name_H-M 'P -3 m 1'
_symmetry_Int_Tables_number 164
_symmetry_space_group_name_Hall '-P 3 2"'
loop_
_atom_site_label
_atom_site_type_symbol
_atom_site_fract_x
_atom_site_fract_y
_atom_site_fract_z
Ba1 Ba 0.0000 0.0000 0.0000
Np1 Np 0.0000 0.0000 0.5000
I1 I 0.3333 0.6667 0.3011
O1 O 0.1523 0.3047 0.3088
O2 O 0.3333 0.6667 0.0580
```

Results
Formation energy from raw total energies: -1363 meV per atom
Total magnetic moment: 3.0 μB/cell



Record 10
Computed, not measured: a relaxed structure of Ba2IO at the PBE level of DFT.

The structure in CIF format:
```
data_Ba2IO
_cell_length_a 4.2427
_cell_length_b 4.2427
_cell_length_c 24.8218
_cell_angle_alpha 90.00
_cell_angle_beta 90.00
_cell_angle_gamma 120.00
_symmetry_space_group_name_H-M 'R 3 m'
_symmetry_Int_Tables_number 160
_symmetry_space_group_name_Hall 'R 3 -2"'
loop_
_atom_site_label
_atom_site_type_symbol
_atom_site_fract_x
_atom_site_fract_y
_atom_site_fract_z
Ba1 Ba 0.0000 0.0000 0.0000
Ba2 Ba 0.0000 0.0000 0.2144
I1 I 0.0000 0.0000 0.7729
O1 O 0.0000 0.0000 0.5929
```

Results
Formation energy from raw total energies: -1823 meV per atom
Total magnetic moment: 2.8 μB/cell



Record 11
Computed, not measured: a relaxed structure of Ba6I3O14 at the PBE level of DFT.

The structure in CIF format:
```
data_Ba6I3O14
_cell_length_a 9.4311
_cell_length_b 9.4311
_cell_length_c 6.1052
_cell_angle_alpha 90.00
_cell_angle_beta 90.00
_cell_angle_gamma 120.00
_symmetry_space_group_name_H-M 'P 3'
_symmetry_Int_Tables_number 143
loop_
_symmetry_equiv_pos_as_xyz
'x,y,z'
'-y,x-y,z'
'-x+y,-x,z'
loop_
_atom_site_label
_atom_site_type_symbol
_atom_site_fract_x
_atom_site_fract_y
_atom_site_fract_z
Ba1 Ba 0.0137 0.4546 0.0000
Ba2 Ba 0.2823 0.2202 0.4769
I1 I 0.0000 0.0000 0.0116
I2 I 0.3333 0.6667 0.5563
I3 I 0.6667 0.3333 0.6267
O1 O 0.0000 0.0000 0.6613
O2 O 0.0442 0.1956 0.1667
O3 O 0.2031 0.7408 0.7119
O4 O 0.3333 0.6667 0.2109
O5 O 0.4645 0.2626 0.8260
O6 O 0.5294 0.1328 0.4415
```

Results
Formation energy from raw total energies: -1618 meV per atom
Total magnetic moment: 1.0 μB/cell



Record 12
Computed, not measured: a relaxed structure of BaI2O at the PBE level of DFT.

The structure in CIF format:
```
data_BaI2O
_cell_length_a 8.2442
_cell_length_b 8.2442
_cell_length_c 8.2442
_cell_angle_alpha 90.00
_cell_angle_beta 90.00
_cell_angle_gamma 90.00
_symmetry_space_group_name_H-M 'F m -3 m'
_symmetry_Int_Tables_number 225
_symmetry_space_group_name_Hall '-F 4 2 3'
loop_
_atom_site_label
_atom_site_type_symbol
_atom_site_fract_x
_atom_site_fract_y
_atom_site_fract_z
Ba1 Ba 0.0000 0.0000 0.0000
I1 I 0.2500 0.2500 0.2500
O1 O 0.0000 0.0000 0.5000
```

Results
Formation energy from raw total energies: -656 meV per atom
Total magnetic moment: 8.0 μB/cell